Record 1
The following is a GGA-PBE calculation of crystalline La2Nd2C2Cl5 at its relaxed geometry, from OQMD.

Cell: 9.7742 9.7742 9.7742 Å, 156.96 132.20 53.70°
With the nearest neighbours (Å) after each atom.
Fractional positions:
La1 0.1717 0.1717 0.0000  1 C 2.28
La2 0.8283 0.8283 0.0000  1 C 2.28
Nd1 0.2106 0.5000 0.7106  4 C 2.66, 2 Cl 2.93
Nd2 0.7894 0.5000 0.2894  4 C 2.66, 2 Cl 2.93
C1 0.0409 0.0409 0.0000  1 C 1.43
C2 0.9591 0.9591 0.0000  1 C 1.43
Cl1 0.1091 0.3345 0.7746  2 La 2.92, 1 Nd 2.93
Cl2 0.4402 0.6655 0.7746  2 La 2.92, 1 Nd 2.93
Cl3 0.5000 0.0000 0.5000  4 Nd 3.01
Cl4 0.5598 0.3345 0.2254  2 La 2.92, 1 Nd 2.93
Cl5 0.8909 0.6655 0.2254  2 La 2.92, 1 Nd 2.93

- SG: No. 71
- E: -5.92 eV per atom

Record 2
The following is a GGA-PBE calculation of crystalline TcAs2Os at its relaxed geometry, from OQMD.

Cell: 4.4599 4.4599 4.4599 Å, 60.00 60.00 60.00°
With the nearest neighbours (Å) after each atom.
Fractional positions:
Tc1 0.0000 0.0000 0.0000  4 As 2.73, 4 Os 2.73
As1 0.5000 0.5000 0.5000  4 As 2.73, 4 Os 2.73
As2 0.7500 0.7500 0.7500  4 As 2.73, 4 Tc 2.73
Os1 0.2500 0.2500 0.2500  4 As 2.73, 4 Tc 2.73

- SG: No. 216
- E: -7.05 eV per atom

Record 3
The following is a GGA-PBE calculation of crystalline SrTmAsO at its relaxed geometry, from OQMD.

Cell: 4.8565 4.8565 9.2355 Å, 90.00 90.00 90.00°
With the nearest neighbours (Å) after each atom.
Fractional positions:
Sr1 0.2500 0.2500 0.0593  4 O 2.49
Sr2 0.7500 0.7500 0.9407  4 O 2.49
Tm1 0.2500 0.7500 0.5000  4 As 2.77
Tm2 0.7500 0.2500 0.5000  4 As 2.77
As1 0.2500 0.2500 0.6434  4 Tm 2.77
As2 0.7500 0.7500 0.3566  4 Tm 2.77
O1 0.2500 0.7500 0.0000  4 Sr 2.49
O2 0.7500 0.2500 0.0000  4 Sr 2.49

- Polymorph energy (0 for the lowest one): 0.5570 eV per atom
- SG: No. 129

Record 4
The following is a GGA-PBE calculation of crystalline Tb2GaCo2 at its relaxed geometry, from OQMD.

Cell: 5.3833 5.3833 5.3833 Å, 135.66 119.30 78.20°
With the nearest neighbours (Å) after each atom.
Fractional positions:
Tb1 0.2048 0.2048 0.0000  6 Co 2.90-2.91, 4 Ga 3.20-3.21
Tb2 0.7952 0.7952 0.0000  6 Co 2.90-2.91, 4 Ga 3.20-3.21
Ga1 0.5000 0.0000 0.5000  4 Co 2.54
Co1 0.2195 0.5000 0.7195  1 Co 2.39, 2 Ga 2.54
Co2 0.7805 0.5000 0.2805  1 Co 2.39, 2 Ga 2.54

- SG: No. 71
- E: -5.70 eV per atom

Record 5
The following is a GGA-PBE calculation of crystalline Rb2PtI4 at its relaxed geometry, from OQMD.

Cell: 7.4820 7.4820 11.8697 Å, 90.00 90.00 90.00°
With the nearest neighbours (Å) after each atom.
Fractional positions:
Rb1 0.0000 0.5000 0.2500  8 I 3.76-3.98
Rb2 0.0000 0.5000 0.7500  8 I 3.76-3.98
Rb3 0.5000 0.0000 0.2500  8 I 3.76-3.98
Rb4 0.5000 0.0000 0.7500  8 I 3.76-3.98
Pt1 0.0000 0.0000 0.0000  4 I 2.63-2.64
Pt2 0.5000 0.5000 0.5000  4 I 2.63-2.64
I1 0.0000 0.0000 0.2219  1 Pt 2.63
I2 0.0000 0.0000 0.7781  1 Pt 2.63
I3 0.2499 0.2499 0.0000  1 Pt 2.64
I4 0.2501 0.7499 0.5000  1 Pt 2.64
I5 0.5000 0.5000 0.2781  1 Pt 2.63
I6 0.5000 0.5000 0.7219  1 Pt 2.63
I7 0.7499 0.2501 0.5000  1 Pt 2.64
I8 0.7501 0.7501 0.0000  1 Pt 2.64

- SG: No. 136
- E: -2.94 eV per atom

Record 6
The following is a GGA-PBE calculation of crystalline Dy2AuSe3 at its relaxed geometry, from OQMD.

Cell: 10.2108 3.8836 13.9788 Å, 90.00 90.00 90.00°
With the nearest neighbours (Å) after each atom.
Fractional positions:
Dy1 0.0123 0.2500 0.2486  6 Se 2.95-3.05, 4 Au 3.21-3.25
Dy2 0.2354 0.7500 0.5250  7 Se 2.95-3.28
Dy3 0.2646 0.2500 0.0250  7 Se 2.95-3.28
Dy4 0.4877 0.7500 0.7486  6 Se 2.95-3.05, 4 Au 3.21-3.25
Dy5 0.5123 0.2500 0.2514  6 Se 2.95-3.05, 4 Au 3.21-3.25
Dy6 0.7354 0.7500 0.9750  7 Se 2.95-3.28
Dy7 0.7646 0.2500 0.4750  7 Se 2.95-3.28
Dy8 0.9877 0.7500 0.7514  6 Se 2.95-3.05, 4 Au 3.21-3.25
Au1 0.2397 0.2500 0.7237  4 Se 2.66-2.79
Au2 0.2603 0.7500 0.2237  4 Se 2.66-2.79
Au3 0.7397 0.2500 0.7763  4 Se 2.66-2.79
Au4 0.7603 0.7500 0.2763  4 Se 2.66-2.79
Se1 0.0392 0.2500 0.5970  1 Au 2.71, 4 Dy 2.95-2.97
Se2 0.0676 0.7500 0.0953  1 Au 2.66, 4 Dy 2.95-2.96
Se3 0.2376 0.7500 0.8674  2 Au 2.79, 4 Dy 2.95-3.05
Se4 0.2624 0.2500 0.3674  2 Au 2.79, 4 Dy 2.95-3.05
Se5 0.4324 0.2500 0.5953  1 Au 2.66, 4 Dy 2.95-2.96
Se6 0.4608 0.7500 0.0970  1 Au 2.71, 4 Dy 2.95-2.97
Se7 0.5392 0.2500 0.9030  1 Au 2.71, 4 Dy 2.95-2.97
Se8 0.5676 0.7500 0.4047  1 Au 2.66, 4 Dy 2.95-2.96
Se9 0.7376 0.7500 0.6326  2 Au 2.79, 4 Dy 2.95-3.05
Se10 0.7624 0.2500 0.1326  2 Au 2.79, 4 Dy 2.95-3.05
Se11 0.9324 0.2500 0.9047  1 Au 2.66, 4 Dy 2.95-2.96
Se12 0.9608 0.7500 0.4030  1 Au 2.71, 4 Dy 2.95-2.97

- Polymorph energy (0 for the lowest one): 0.0365 eV per atom
- SG: No. 62